## A
This record from Alexandria describes an optimized crystal structure of La4SmHo4. The functional is GGA-PBE.

Output
DOS(E_F)   1.4450 states/eV/atom

Structure (CIF):
```
data_La4SmHo4
_symmetry_space_group_name_H-M 'C 1 m 1'
_symmetry_Int_Tables_number 8
_cell_length_a 11.7496
_cell_length_b 7.5242
_cell_length_c 8.9500
_cell_angle_alpha 90.00
_cell_angle_beta 128.31
_cell_angle_gamma 90.00
loop_
_symmetry_equiv_pos_as_xyz
'x,y,z'
'x,-y,z'
'x+1/2,y+1/2,z'
'x+1/2,-y+1/2,z'
loop_
_atom_site_label
_atom_site_fract_x
_atom_site_fract_y
_atom_site_fract_z
La1 0.0000 0.0000 0.0000
La2 0.0259 0.5000 0.3103
La3 0.2248 0.2860 0.1577
Sm1 0.0693 0.0000 0.3850
Ho1 0.2413 0.2223 0.7808
Ho2 0.4129 0.5000 0.5934
Ho3 0.4382 0.0000 0.6463
```

## B
This record from Alexandria describes an optimized crystal structure of La4SmHo4. The functional is GGA-PBE.

Output
DOS(E_F)   1.5986 states/eV/atom

Structure (CIF):
```
data_La4SmHo4
_symmetry_space_group_name_H-M 'I 4/m m m'
_symmetry_Int_Tables_number 139
_symmetry_space_group_name_Hall '-I 4 2'
_cell_length_a 10.8882
_cell_length_b 10.8882
_cell_length_c 5.1572
_cell_angle_alpha 90.00
_cell_angle_beta 90.00
_cell_angle_gamma 90.00
loop_
_atom_site_label
_atom_site_fract_x
_atom_site_fract_y
_atom_site_fract_z
La1 0.1673 0.1673 0.0000
Sm1 0.0000 0.0000 0.5000
Ho1 0.0000 0.3372 0.5000
```

Verdict on stability: A comes out at the bottom.

## A
This record from Alexandria describes an optimized crystal structure of La5Sm2Ho4. The functional is GGA-PBE.

Output
DOS(E_F)   1.4690 states/eV/atom

Structure (CIF):
```
data_La5Sm2Ho4
_symmetry_space_group_name_H-M 'C 1 2/m 1'
_symmetry_Int_Tables_number 12
_cell_length_a 17.9474
_cell_length_b 3.5742
_cell_length_c 11.7851
_cell_angle_alpha 90.00
_cell_angle_beta 93.83
_cell_angle_gamma 90.00
loop_
_symmetry_equiv_pos_as_xyz
'x,y,z'
'-x,-y,-z'
'-x,y,-z'
'x,-y,z'
'x+1/2,y+1/2,z'
'-x+1/2,-y+1/2,-z'
'-x+1/2,y+1/2,-z'
'x+1/2,-y+1/2,z'
loop_
_atom_site_label
_atom_site_fract_x
_atom_site_fract_y
_atom_site_fract_z
La1 0.0000 0.0000 0.0000
La2 0.0958 0.5000 0.5336
La3 0.1761 0.5000 0.0722
Sm1 0.2166 0.0000 0.3500
Ho1 0.0334 0.5000 0.2607
Ho2 0.1399 0.0000 0.7986
```

## B
This record from Alexandria describes an optimized crystal structure of La5Sm2Ho4. The functional is GGA-PBE.

Output
DOS(E_F)   1.5438 states/eV/atom

Structure (CIF):
```
data_La5Sm2Ho4
_symmetry_space_group_name_H-M 'I m m m'
_symmetry_Int_Tables_number 71
_symmetry_space_group_name_Hall '-I 2 2'
_cell_length_a 3.5658
_cell_length_b 9.3120
_cell_length_c 23.7401
_cell_angle_alpha 90.00
_cell_angle_beta 90.00
_cell_angle_gamma 90.00
loop_
_atom_site_label
_atom_site_fract_x
_atom_site_fract_y
_atom_site_fract_z
La1 0.0000 0.0000 0.0000
La2 0.0000 0.2991 0.3542
Sm1 0.0000 0.5000 0.2313
Ho1 0.0000 0.1837 0.5000
Ho2 0.0000 0.5000 0.0961
```

Verdict on stability: B comes out at the bottom.

## A
This record from Alexandria describes an optimized crystal structure of LaSmHoTh. The functional is GGA-PBE.

Output
DOS(E_F)   1.2278 states/eV/atom

Structure (CIF):
```
data_LaSmHoTh
_symmetry_space_group_name_H-M 'P 4 m m'
_symmetry_Int_Tables_number 99
_cell_length_a 3.6164
_cell_length_b 3.6164
_cell_length_c 10.2594
_cell_angle_alpha 90.00
_cell_angle_beta 90.00
_cell_angle_gamma 90.00
loop_
_symmetry_equiv_pos_as_xyz
'x,y,z'
'-y,x,z'
'-x,-y,z'
'y,-x,z'
'-x,y,z'
'y,x,z'
'x,-y,z'
'-y,-x,z'
loop_
_atom_site_label
_atom_site_fract_x
_atom_site_fract_y
_atom_site_fract_z
La1 0.0000 0.0000 0.0000
Sm1 0.5000 0.5000 0.7318
Ho1 0.5000 0.5000 0.2596
Th1 0.0000 0.0000 0.4928
```

## B
This record from Alexandria describes an optimized crystal structure of LaSmHoTh. The functional is GGA-PBE.

Output
DOS(E_F)   1.8861 states/eV/atom

Structure (CIF):
```
data_LaSmHoTh
_symmetry_space_group_name_H-M 'F -4 3 m'
_symmetry_Int_Tables_number 216
_symmetry_space_group_name_Hall 'F -4 2 3'
_cell_length_a 8.1316
_cell_length_b 8.1316
_cell_length_c 8.1316
_cell_angle_alpha 90.00
_cell_angle_beta 90.00
_cell_angle_gamma 90.00
loop_
_atom_site_label
_atom_site_fract_x
_atom_site_fract_y
_atom_site_fract_z
La1 0.0000 0.0000 0.0000
Sm1 0.2500 0.2500 0.2500
Ho1 0.2500 0.2500 0.7500
Th1 0.0000 0.0000 0.5000
```

Verdict on stability: B comes out at the bottom.

## A
This record from Alexandria describes an optimized crystal structure of La2Ho3Sn4. The functional is GGA-PBE.

Output
DOS(E_F)   0.5106 states/eV/atom

Structure (CIF):
```
data_La2Ho3Sn4
_symmetry_space_group_name_H-M 'C m c e'
_symmetry_Int_Tables_number 64
_symmetry_space_group_name_Hall '-C 2ac 2'
_cell_length_a 7.0882
_cell_length_b 17.2774
_cell_length_c 8.9592
_cell_angle_alpha 90.00
_cell_angle_beta 90.00
_cell_angle_gamma 90.00
loop_
_atom_site_label
_atom_site_fract_x
_atom_site_fract_y
_atom_site_fract_z
La1 0.0000 0.1106 0.0879
Ho1 0.0000 0.0000 0.5000
Ho2 0.2500 0.2079 0.7500
Sn1 0.0000 0.1863 0.4459
Sn2 0.2500 0.0331 0.7500
```

## B
This record from Alexandria describes an optimized crystal structure of La2Ho3Sn4. The functional is GGA-PBE.

Output
DOS(E_F)   0.8195 states/eV/atom

Structure (CIF):
```
data_La2Ho3Sn4
_symmetry_space_group_name_H-M 'P 1 21/c 1'
_symmetry_Int_Tables_number 14
_cell_length_a 8.3703
_cell_length_b 8.3784
_cell_length_c 8.1205
_cell_angle_alpha 90.00
_cell_angle_beta 110.19
_cell_angle_gamma 90.00
loop_
_symmetry_equiv_pos_as_xyz
'x,y,z'
'-x,-y,-z'
'-x,y+1/2,-z+1/2'
'x,-y+1/2,z+1/2'
loop_
_atom_site_label
_atom_site_fract_x
_atom_site_fract_y
_atom_site_fract_z
La1 0.1921 0.1762 0.0634
Ho1 0.2487 0.6672 0.2444
Ho2 0.5000 0.0000 0.5000
Sn1 0.0833 0.5409 0.8472
Sn2 0.4916 0.1343 0.8627
```

Verdict on stability: A comes out at the bottom.

## A
This record from Alexandria describes an optimized crystal structure of LaHoSn. The functional is GGA-PBE.

Output
DOS(E_F)   1.0001 states/eV/atom

Structure (CIF):
```
data_LaHoSn
_symmetry_space_group_name_H-M 'I 4/m m m'
_symmetry_Int_Tables_number 139
_symmetry_space_group_name_Hall '-I 4 2'
_cell_length_a 4.6913
_cell_length_b 4.6913
_cell_length_c 17.3550
_cell_angle_alpha 90.00
_cell_angle_beta 90.00
_cell_angle_gamma 90.00
loop_
_atom_site_label
_atom_site_fract_x
_atom_site_fract_y
_atom_site_fract_z
La1 0.0000 0.0000 0.1771
Ho1 0.0000 0.5000 0.0000
Sn1 0.0000 0.0000 0.3715
```

## B
This record from Alexandria describes an optimized crystal structure of LaHoSn. The functional is GGA-PBE.

Output
DOS(E_F)   1.2600 states/eV/atom

Structure (CIF):
```
data_LaHoSn
_symmetry_space_group_name_H-M 'I 4 m m'
_symmetry_Int_Tables_number 107
_symmetry_space_group_name_Hall 'I 4 -2'
_cell_length_a 4.1691
_cell_length_b 4.1691
_cell_length_c 10.1333
_cell_angle_alpha 90.00
_cell_angle_beta 90.00
_cell_angle_gamma 90.00
loop_
_atom_site_label
_atom_site_fract_x
_atom_site_fract_y
_atom_site_fract_z
La1 0.0000 0.0000 0.0000
Ho1 0.0000 0.0000 0.3074
Sn1 0.0000 0.0000 0.6661
```

## C
This record from Alexandria describes an optimized crystal structure of LaHoSn. The functional is GGA-PBE.

Output
DOS(E_F)   0.6531 states/eV/atom

Structure (CIF):
```
data_LaHoSn
_symmetry_space_group_name_H-M 'P 1 21/m 1'
_symmetry_Int_Tables_number 11
_cell_length_a 4.4425
_cell_length_b 4.9130
_cell_length_c 8.5579
_cell_angle_alpha 90.00
_cell_angle_beta 105.17
_cell_angle_gamma 90.00
loop_
_symmetry_equiv_pos_as_xyz
'x,y,z'
'-x,-y,-z'
'-x,y+1/2,-z'
'x,-y+1/2,z'
loop_
_atom_site_label
_atom_site_fract_x
_atom_site_fract_y
_atom_site_fract_z
La1 0.0697 0.2500 0.1423
Ho1 0.2540 0.7500 0.5078
Sn1 0.3890 0.2500 0.7763
```

## D
This record from Alexandria describes an optimized crystal structure of LaHoSn. The functional is GGA-PBE.

Output
DOS(E_F)   0.6599 states/eV/atom

Structure (CIF):
```
data_LaHoSn
_symmetry_space_group_name_H-M 'P 3 m 1'
_symmetry_Int_Tables_number 156
_cell_length_a 5.1504
_cell_length_b 5.1504
_cell_length_c 4.2175
_cell_angle_alpha 90.00
_cell_angle_beta 90.00
_cell_angle_gamma 120.00
loop_
_symmetry_equiv_pos_as_xyz
'x,y,z'
'-y,x-y,z'
'-x+y,-x,z'
'-y,-x,z'
'-x+y,y,z'
'x,x-y,z'
loop_
_atom_site_label
_atom_site_fract_x
_atom_site_fract_y
_atom_site_fract_z
La1 0.0000 0.0000 0.0000
Ho1 0.3333 0.6667 0.5013
Sn1 0.6667 0.3333 0.4971
```

Verdict on stability: D comes out at the bottom.

## A
This record from Alexandria describes an optimized crystal structure of SrLaHo. The functional is GGA-PBE.

Output
DOS(E_F)   1.3127 states/eV/atom

Structure (CIF):
```
data_SrLaHo
_symmetry_space_group_name_H-M 'P 3 m 1'
_symmetry_Int_Tables_number 156
_cell_length_a 3.7915
_cell_length_b 3.7915
_cell_length_c 9.4346
_cell_angle_alpha 90.00
_cell_angle_beta 90.00
_cell_angle_gamma 120.00
loop_
_symmetry_equiv_pos_as_xyz
'x,y,z'
'-y,x-y,z'
'-x+y,-x,z'
'-y,-x,z'
'-x+y,y,z'
'x,x-y,z'
loop_
_atom_site_label
_atom_site_fract_x
_atom_site_fract_y
_atom_site_fract_z
Sr1 0.0000 0.0000 0.0000
La1 0.3333 0.6667 0.6344
Ho1 0.6667 0.3333 0.3404
```

## B
This record from Alexandria describes an optimized crystal structure of SrLaHo. The functional is GGA-PBE.

Output
DOS(E_F)   1.4560 states/eV/atom

Structure (CIF):
```
data_SrLaHo
_symmetry_space_group_name_H-M 'I 4 m m'
_symmetry_Int_Tables_number 107
_symmetry_space_group_name_Hall 'I 4 -2'
_cell_length_a 3.8143
_cell_length_b 3.8143
_cell_length_c 16.2453
_cell_angle_alpha 90.00
_cell_angle_beta 90.00
_cell_angle_gamma 90.00
loop_
_atom_site_label
_atom_site_fract_x
_atom_site_fract_y
_atom_site_fract_z
Sr1 0.0000 0.0000 0.0000
La1 0.0000 0.0000 0.6856
Ho1 0.0000 0.0000 0.3255
```

Verdict on stability: A comes out at the bottom.